First-principles (PBE) data for a relaxed Tm2ZnB2Ir5 crystal, as listed in Alexandria via LeMat-Bulk.

The structure in extended XYZ format:
```
20
Lattice="-2.452 1.258 1.455 -4.746 0.369 -8.315 -3.528 -8.758 1.625" Properties=species:S:1:pos:R:3 pbc="T T T"
Ir -6.423 -0.947 -6.667
Ir -4.268 -1.671 -2.409
B -2.785 -5.414 -0.012
Ir -2.506 0.115 -0.984
Ir -4.563 -4.241 -0.684
Ir -8.221 -7.247 -4.250
Tm -3.839 -1.303 -5.343
B -2.223 -0.941 -2.932
Tm -6.294 -5.628 -5.741
Zn 0.000 0.000 0.000
Tm -4.435 -7.087 -1.346
B -6.051 -7.449 -3.758
Ir -3.599 0.813 -3.430
B -5.490 -2.976 -6.678
Zn -4.137 -4.195 -3.345
Ir -6.459 -5.460 -2.826
Ir -2.990 -3.750 1.540
Ir -4.304 -6.185 1.432
Tm -1.980 -2.761 -0.949
Ir -6.164 -2.890 -4.550
```

Output
- DFT formation energy: -0.725 eV per atom
- Fermi-level density of states: 4.1 states/eV/f.u.